Density functional theory data (PBE) for Ac8Ru3Br3N after structural relaxation.

Unit cell a=14.658 b=8.467 c=9.665 alpha=90.00 beta=120.47 gamma=90.00
Space group C2/m (No. 12)
One atom of each set of equivalent atoms:
Ac 0.019 0.239 0.318
Ac 0.219 0.000 0.682
Ac 0.234 0.500 0.702
Ru 0.000 0.500 0.500
Ru 0.250 0.250 0.500
Br 0.000 0.000 0.000
Br 0.250 0.250 0.000
N 0.000 0.000 0.500

Summary:
raw total energy	-5.693	eV per atom
M_tot	1.5	μB/cell